{
  "formula": "RbSmAlTe3",
  "functional": "PBE",
  "state": "optimized geometry",
  "total_energy_ev_per_atom": -4.08,
  "magmom_total_mub_per_cell": 0.02,
  "spacegroup": "Pnma, No. 62",
  "lattice": [[-10.622, -5.412, 2.866], [-0.108, -2.194, -4.542], [6.728, -10.583, 4.953]],
  "species": ["Rb", "Rb", "Rb", "Rb", "Te", "Te", "Te", "Te", "Te", "Te", "Te", "Te", "Te", "Te", "Te", "Te", "Sm", "Sm", "Sm", "Sm", "Al", "Al", "Al", "Al"],
  "fractional_positions": [[0.321, 0.750, 0.507], [0.821, 0.750, 0.993], [0.179, 0.250, 0.007], [0.679, 0.250, 0.493], [0.792, 0.250, 0.201], [0.906, 0.750, 0.436], [0.553, 0.750, 0.326], [0.094, 0.250, 0.564], [0.594, 0.250, 0.936], [0.708, 0.750, 0.701], [0.406, 0.750, 0.064], [0.053, 0.750, 0.174], [0.292, 0.250, 0.299], [0.208, 0.750, 0.799], [0.447, 0.250, 0.674], [0.947, 0.250, 0.826], [0.027, 0.250, 0.326], [0.973, 0.750, 0.674], [0.473, 0.750, 0.826], [0.527, 0.250, 0.174], [0.765, 0.750, 0.278], [0.735, 0.250, 0.778], [0.265, 0.750, 0.222], [0.235, 0.250, 0.722]]
}

=====

{
  "formula": "NpAlGe",
  "functional": "PBE",
  "state": "optimized geometry",
  "total_energy_ev_per_atom": -6.92,
  "magmom_total_mub_per_cell": 4.62,
  "spacegroup": "F-43m, No. 216",
  "lattice": [[-3.719, -2.668, -0.088], [-3.849, 1.369, 2.067], [-3.634, 1.220, -2.504]],
  "species": ["Np", "Al", "Ge"],
  "fractional_positions": [[0.750, 0.750, 0.750], [0.250, 0.250, 0.250], [0.000, 0.000, 0.000]]
}

=====

{
  "formula": "TmSc2Al3CuSn2",
  "functional": "PBE",
  "state": "optimized geometry",
  "total_energy_ev_per_atom": -4.95,
  "magmom_total_mub_per_cell": 0.00,
  "spacegroup": "Amm2, No. 38",
  "lattice": [[4.117, 0.000, 0.000], [0.000, 6.237, 3.533], [0.000, -6.237, 3.533]],
  "species": ["Tm", "Sn", "Sn", "Cu", "Al", "Al", "Al", "Sc", "Sc"],
  "fractional_positions": [[0.000, 0.609, 0.609], [0.500, 0.670, 0.326], [0.500, 0.326, 0.670], [0.000, 0.008, 0.008], [0.500, 0.777, 0.000], [0.500, 0.231, 0.231], [0.500, 0.000, 0.777], [0.000, 0.382, 0.998], [0.000, 0.998, 0.382]]
}

=====

{
  "formula": "ThTl2S3",
  "functional": "PBE",
  "state": "optimized geometry",
  "total_energy_ev_per_atom": -5.22,
  "magmom_total_mub_per_cell": 0.00,
  "spacegroup": "Cmcm, No. 63",
  "lattice": [[1.788, 3.639, 7.053], [-3.000, 0.338, -7.555], [-10.716, -2.745, 4.133]],
  "species": ["Th", "Th", "Tl", "Tl", "Tl", "Tl", "S", "S", "S", "S", "S", "S"],
  "fractional_positions": [[0.000, 0.000, 0.500], [0.000, 0.000, 0.000], [0.647, 0.353, 0.750], [0.353, 0.647, 0.250], [0.649, 0.351, 0.250], [0.351, 0.649, 0.750], [0.001, 0.999, 0.250], [0.386, 0.614, 0.500], [0.999, 0.001, 0.750], [0.614, 0.386, 0.000], [0.614, 0.386, 0.500], [0.386, 0.614, 0.000]]
}

=====

{
  "formula": "Li2PbAu2",
  "functional": "PBE",
  "state": "optimized geometry",
  "total_energy_ev_per_atom": -3.10,
  "spacegroup": "I4/mmm, No. 139",
  "lattice": [[2.895, -2.895, 0.000], [2.895, 2.895, 0.000], [-2.895, 0.000, 6.014]],
  "species": ["Au", "Au", "Li", "Li", "Pb"],
  "fractional_positions": [[0.616, 0.616, 0.232], [0.384, 0.384, 0.768], [0.250, 0.750, 0.500], [0.750, 0.250, 0.500], [0.000, 0.000, 0.000]]
}

=====

{
  "formula": "Rb4TcGeTe6",
  "functional": "PBE",
  "state": "optimized geometry",
  "total_energy_ev_per_atom": -3.72,
  "magmom_total_mub_per_cell": 1.00,
  "spacegroup": "P1, No. 1",
  "lattice": [[-4.170, 6.246, 0.187], [-6.979, -1.099, 3.808], [0.849, 4.033, 9.173]],
  "species": ["Tc", "Te", "Te", "Te", "Te", "Te", "Te", "Rb", "Rb", "Rb", "Rb", "Ge"],
  "fractional_positions": [[0.140, 0.943, 0.815], [0.335, 0.616, 0.784], [0.794, 0.966, 0.967], [0.659, 0.393, 0.220], [0.135, 0.193, 0.589], [0.223, 0.028, 0.010], [0.863, 0.802, 0.421], [0.141, 0.482, 0.180], [0.847, 0.531, 0.829], [0.626, 0.186, 0.608], [0.379, 0.803, 0.389], [0.858, 0.057, 0.188]]
}

=====

{
  "formula": "La2Ir",
  "functional": "PBE",
  "state": "optimized geometry",
  "magmom_total_mub_per_cell": 0.05,
  "formation_enthalpy_0k_ev_per_atom": 0.689,
  "spacegroup": "Fd-3m, No. 227",
  "lattice": [[0.000, 4.251, 4.251], [4.251, 0.000, 4.251], [4.251, 4.251, 0.000]],
  "species": ["Ir", "Ir", "La", "La", "La", "La"],
  "fractional_positions": [[0.000, 0.000, 0.000], [0.250, 0.250, 0.250], [0.625, 0.625, 0.625], [0.625, 0.625, 0.125], [0.625, 0.125, 0.625], [0.125, 0.625, 0.625]]
}

=====

{
  "formula": "RbSrTbSe3",
  "functional": "PBE",
  "state": "optimized geometry",
  "total_energy_ev_per_atom": -4.53,
  "magmom_total_mub_per_cell": 0.01,
  "spacegroup": "Cmcm, No. 63",
  "lattice": [[2.197, -9.388, 0.000], [2.197, 9.388, 0.000], [0.000, 0.000, 12.096]],
  "species": ["Tb", "Tb", "Se", "Se", "Se", "Se", "Se", "Se", "Sr", "Sr", "Rb", "Rb"],
  "fractional_positions": [[0.500, 0.500, 0.000], [0.500, 0.500, 0.500], [0.484, 0.516, 0.750], [0.103, 0.897, 0.510], [0.897, 0.103, 0.010], [0.516, 0.484, 0.250], [0.103, 0.897, 0.990], [0.897, 0.103, 0.490], [0.911, 0.089, 0.250], [0.089, 0.911, 0.750], [0.154, 0.846, 0.250], [0.846, 0.154, 0.750]]
}

=====

no.,calculated volume (A^3/atom)
1,34.756
2,22.617
3,20.158
4,32.396
5,20.159
6,43.417
7,25.599
8,41.580